1.
First-principles (PBE) data for a relaxed structure of TbGa6Ag, as listed in Alexandria via LeMat-Bulk.

a = 4.428 Å, b = 6.132 Å, c = 6.132 Å
α = 69.32°, β = 90.00°, γ = 90.00°
Fractional positions:
Ga1 0.000 0.781 0.781
Ga2 0.000 0.219 0.219
Ga3 0.000 0.706 0.294
Ga4 0.500 0.000 0.500
Ga5 0.500 0.500 0.000
Ga6 0.000 0.294 0.706
Ag1 0.500 0.500 0.500
Tb1 0.500 0.000 0.000


2.
First-principles (PBE) data for a relaxed structure of Tb3Ga9Ag2, as listed in Alexandria via LeMat-Bulk.

a = 4.247 Å, b = 8.367 Å, c = 8.367 Å
α = 74.59°, β = 75.30°, γ = 75.30°
Fractional positions:
Tb1 0.683 0.317 0.317
Tb2 0.000 0.000 0.000
Tb3 0.317 0.683 0.683
Ga1 0.000 0.500 0.500
Ga2 0.859 0.416 0.866
Ga3 0.665 0.959 0.711
Ga4 0.859 0.866 0.416
Ga5 0.141 0.584 0.134
Ga6 0.141 0.134 0.584
Ga7 0.665 0.711 0.959
Ga8 0.335 0.041 0.289
Ga9 0.335 0.289 0.041
Ag1 0.500 0.282 0.718
Ag2 0.500 0.718 0.282


Electronic total energy per entry: -3.41 -3.80 eV per atom